Density functional theory data (GGA-PBE) for a geometry-optimized CeCdInSn structure.

Cell: 4.543 4.643 4.881 Å, 90.00 90.00 90.00°
Element x y z (fractional)
Ce (0.000, 0.000, 0.000)
Cd (0.000, 0.500, 0.500)
In (0.500, 0.000, 0.500)
Sn (0.500, 0.500, 0.000)

ΔH_f (0 K) = -1.718 eV per formula unit

---

Density functional theory data (GGA-PBE) for a geometry-optimized SiIr2F structure.

Cell: 5.874 5.874 5.874 Å, 97.11 97.11 138.80°
Element x y z (fractional)
Si (0.000, 0.000, 0.000)
Si (0.750, 0.250, 0.500)
Ir (0.042, 0.125, 0.417)
Ir (0.375, 0.958, 0.083)
Ir (0.708, 0.625, 0.583)
Ir (0.875, 0.292, 0.917)
F (0.250, 0.750, 0.500)
F (0.500, 0.500, 0.000)

E_form (uncorrected) = -0.2428 eV per atom

---

| no. | M_tot (μB/cell) | ρ (g/cm3) |
| --- | --- | --- |
| 1 | 0.781 | 7.84 |
| 2 | 0.000 | 11.47 |